Record 1
Computed, not measured: a geometry-optimized Zr2MoOs structure at the GGA-PBE level of DFT.

abc: 5.333 5.333 2.985
angles: 101.91 101.91 113.48
Fractional positions:
Zr 0.000 0.500 0.000
Zr 0.500 0.000 0.000
Mo 0.000 0.000 0.500
Os 0.500 0.500 0.500

Calculated values
Volume = 18.03 A^3/atom
Energy of formation from the pure elements = -42 meV per atom
ρ = 10.79 g/cm³
Symmetry = C2/m, No. 12

=====

Record 2
Computed, not measured: a geometry-optimized BeCrPCl2 structure at the GGA-PBE level of DFT.

abc: 4.634 4.634 4.849
angles: 90.00 90.00 90.00
Fractional positions:
Be 0.000 0.000 0.000
Cr 0.500 0.500 0.500
P 0.500 0.500 0.000
Cl 0.000 0.500 0.500
Cl 0.500 0.000 0.500

Calculated values
Volume = 20.82 A^3/atom
Formation energy from raw total energies = 0.376 eV per atom
ρ = 2.60 g/cm³
Symmetry = P4/mmm, No. 123

=====

Record 3
Computed, not measured: a geometry-optimized K2NaAsF structure at the GGA-PBE level of DFT.

abc: 5.315 5.315 4.623
angles: 90.00 90.00 90.00
Fractional positions:
K 0.000 0.500 0.000
K 0.500 0.000 0.000
Na 0.000 0.000 0.500
As 0.500 0.500 0.500
F 0.000 0.000 0.000

Calculated values
Volume = 26.12 A^3/atom
Formation energy from raw total energies = -1.178 eV per atom
ρ = 2.48 g/cm³
Symmetry = P4/mmm, No. 123

=====

Record 4
Computed, not measured: a geometry-optimized Pr3NdDy2Se6 structure at the GGA-PBE level of DFT.

abc: 7.241 7.241 7.332
angles: 99.45 99.45 120.23
Fractional positions:
Pr 0.000 0.000 0.000
Pr 0.339 0.661 0.000
Pr 0.661 0.339 0.000
Nd 0.500 0.500 0.500
Dy 0.166 0.834 0.500
Dy 0.834 0.166 0.500
Se 0.078 0.421 0.261
Se 0.235 0.235 0.734
Se 0.421 0.078 0.261
Se 0.579 0.922 0.739
Se 0.765 0.765 0.266
Se 0.922 0.579 0.739

Calculated values
Volume = 26.13 A^3/atom
Formation energy from raw total energies = -1.816 eV per atom
ρ = 7.23 g/cm³
Symmetry = C2/m, No. 12

=====

Record 5
Computed, not measured: a geometry-optimized Ba2Na2Ag structure at the GGA-PBE level of DFT.

abc: 11.385 11.385 11.385
angles: 157.98 157.98 31.35
Fractional positions:
Ba 0.088 0.088 0.000
Ba 0.912 0.912 0.000
Na 0.250 0.750 0.500
Na 0.750 0.250 0.500
Ag 0.500 0.500 0.000

Calculated values
Volume = 41.47 A^3/atom
Energy of formation from the pure elements = -19 meV per atom
ρ = 3.43 g/cm³
Symmetry = I4/mmm, No. 139

=====

Record 6
Computed, not measured: a geometry-optimized LiMgBeIr structure at the GGA-PBE level of DFT.

abc: 4.151 4.151 4.151
angles: 60.00 60.00 60.00
Fractional positions:
Li 0.000 0.000 0.000
Mg 0.750 0.750 0.750
Be 0.500 0.500 0.500
Ir 0.250 0.250 0.250

Calculated values
Volume = 12.64 A^3/atom
Energy of formation from the pure elements = -216 meV per atom
ρ = 7.63 g/cm³
Symmetry = F-43m, No. 216

=====

Record 7
Computed, not measured: a geometry-optimized Fe3Co2 structure at the GGA-PBE level of DFT.

abc: 4.730 4.730 4.730
angles: 50.31 50.31 50.31
Fractional positions:
Fe 0.000 0.000 0.000
Fe 0.201 0.201 0.201
Fe 0.799 0.799 0.799
Co 0.400 0.400 0.400
Co 0.600 0.600 0.600

Calculated values
Volume = 11.54 A^3/atom
Energy of formation from the pure elements = -39 meV per atom
ρ = 8.21 g/cm³
Symmetry = R-3m, No. 166

=====

Record 8
Computed, not measured: a geometry-optimized K2LiZnF6 structure at the GGA-PBE level of DFT.

abc: 5.752 5.752 5.752
angles: 60.00 60.00 60.00
Fractional positions:
K 0.250 0.250 0.250
K 0.750 0.750 0.750
Li 0.000 0.000 0.000
Zn 0.500 0.500 0.500
F 0.256 0.256 0.744
F 0.256 0.744 0.256
F 0.256 0.744 0.744
F 0.744 0.256 0.256
F 0.744 0.256 0.744
F 0.744 0.744 0.256

Calculated values
Volume = 13.46 A^3/atom
Formation energy from raw total energies = -2.460 eV per atom
ρ = 3.26 g/cm³
Symmetry = Fm-3m, No. 225

=====

Record 9
Computed, not measured: a geometry-optimized Tm8SbC4 structure at the GGA-PBE level of DFT.

abc: 7.536 7.536 7.536
angles: 60.00 60.00 60.00
Fractional positions:
Tm 0.399 0.399 0.399
Tm 0.399 0.399 0.804
Tm 0.399 0.804 0.399
Tm 0.420 0.860 0.860
Tm 0.804 0.399 0.399
Tm 0.860 0.420 0.860
Tm 0.860 0.860 0.420
Tm 0.860 0.860 0.860
Sb 0.250 0.250 0.250
C 0.114 0.629 0.629
C 0.629 0.114 0.629
C 0.629 0.629 0.114
C 0.629 0.629 0.629

Calculated values
Volume = 23.28 A^3/atom
Formation energy from raw total energies = -0.268 eV per atom
ρ = 8.35 g/cm³
Symmetry = F-43m, No. 216

=====

Record 10
Computed, not measured: a geometry-optimized La2CrRu structure at the GGA-PBE level of DFT.

abc: 3.580 3.615 7.520
angles: 90.00 90.07 90.00
Fractional positions:
La 0.000 0.000 0.232
La 0.000 0.000 0.768
Cr 0.500 0.500 0.500
Ru 0.500 0.500 0.000

Calculated values
Volume = 24.33 A^3/atom
Energy of formation from the pure elements = 185 meV per atom
ρ = 7.35 g/cm³
Symmetry = P2/m, No. 10

=====

Record 11
Computed, not measured: a geometry-optimized CdNiP structure at the GGA-PBE level of DFT.

abc: 4.131 4.131 4.131
angles: 60.00 60.00 60.00
Fractional positions:
Cd 0.000 0.000 0.000
Ni 0.250 0.250 0.250
P 0.500 0.500 0.500

Calculated values
Volume = 16.61 A^3/atom
Energy of formation from the pure elements = 24 meV per atom
ρ = 6.73 g/cm³
Symmetry = F-43m, No. 216

=====

Record 12
Computed, not measured: a geometry-optimized HPtRhPb2 structure at the GGA-PBE level of DFT.

abc: 5.060 5.060 3.424
angles: 90.00 90.00 90.00
Fractional positions:
H 0.000 0.000 0.000
Pt 0.500 0.500 0.500
Rh 0.000 0.000 0.500
Pb 0.000 0.500 0.000
Pb 0.500 0.000 0.000

Calculated values
Volume = 17.54 A^3/atom
E = -23.793 eV per cell
ρ = 13.51 g/cm³
Symmetry = P4/mmm, No. 123

=====

Record 13
Computed, not measured: a geometry-optimized PrHo2TmP4 structure at the GGA-PBE level of DFT.

abc: 6.985 4.037 6.987
angles: 90.00 109.47 90.00
Fractional positions:
Pr 0.000 0.000 0.000
Ho 0.000 0.500 0.500
Ho 0.500 0.000 0.500
Tm 0.500 0.500 0.000
P 0.256 0.000 0.747
P 0.260 0.500 0.258
P 0.740 0.500 0.742
P 0.744 0.000 0.253

Calculated values
Volume = 23.22 A^3/atom
Energy of formation from the pure elements = -1568 meV per atom
ρ = 6.83 g/cm³
Symmetry = P2/m, No. 10

=====

Record 14
Computed, not measured: a geometry-optimized ZrNiAs2 structure at the GGA-PBE level of DFT.

abc: 3.032 3.032 8.436
angles: 90.00 90.00 90.00
Fractional positions:
Zr 0.000 0.000 0.000
Ni 0.500 0.500 0.774
As 0.000 0.000 0.638
As 0.500 0.500 0.238

Calculated values
Volume = 19.39 A^3/atom
Energy of formation from the pure elements = -320 meV per atom
ρ = 6.42 g/cm³
Symmetry = P4mm, No. 99

=====

Record 15
Computed, not measured: a geometry-optimized BaLa2Sb structure at the GGA-PBE level of DFT.

abc: 6.898 6.898 3.806
angles: 103.91 103.91 117.85
Fractional positions:
Ba 0.000 0.000 0.000
La 0.000 0.500 0.500
La 0.500 0.000 0.500
Sb 0.500 0.500 0.000

Calculated values
Volume = 35.42 A^3/atom
Formation energy from raw total energies = -0.292 eV per atom
ρ = 6.29 g/cm³
Symmetry = C2/m, No. 12

=====

Record 16
Computed, not measured: a geometry-optimized Ba3Li2IrO6 structure at the GGA-PBE level of DFT.

abc: 5.903 5.903 6.698
angles: 90.00 90.00 120.00
Fractional positions:
Ba 0.000 0.000 0.000
Ba 0.333 0.667 0.640
Ba 0.667 0.333 0.360
Li 0.333 0.667 0.231
Li 0.667 0.333 0.769
Ir 0.000 0.000 0.500
O 0.163 0.325 0.319
O 0.163 0.837 0.319
O 0.325 0.163 0.681
O 0.675 0.837 0.319
O 0.837 0.163 0.681
O 0.837 0.675 0.681

Calculated values
Volume = 16.84 A^3/atom
Formation energy from raw total energies = -1.889 eV per atom
ρ = 5.87 g/cm³
Symmetry = P-3m1, No. 164

=====

Record 17
Computed, not measured: a geometry-optimized MgCuO2 structure at the GGA-PBE level of DFT.

abc: 5.955 5.955 5.955
angles: 29.59 29.59 29.59
Fractional positions:
Mg 0.000 0.000 0.000
Cu 0.500 0.500 0.500
O 0.397 0.397 0.397
O 0.603 0.603 0.603

Calculated values
Volume = 11.40 A^3/atom
Formation energy from raw total energies = -1.449 eV per atom
ρ = 4.36 g/cm³
Symmetry = R-3m, No. 166

=====

Record 18
Computed, not measured: a geometry-optimized BaP2Ir structure at the GGA-PBE level of DFT.

abc: 3.385 3.385 6.948
angles: 90.00 90.00 90.00
Fractional positions:
Ba 0.000 0.000 0.000
P 0.500 0.500 0.340
P 0.500 0.500 0.660
Ir 0.000 0.000 0.500

Calculated values
Volume = 19.91 A^3/atom
Energy of formation from the pure elements = -86 meV per atom
ρ = 8.16 g/cm³
Symmetry = P4/mmm, No. 123

=====

Record 19
Computed, not measured: a geometry-optimized In2Bi2O7 structure at the GGA-PBE level of DFT.

abc: 8.108 5.560 14.076
angles: 90.00 98.82 90.00
Fractional positions:
In 0.021 0.000 0.115
In 0.074 0.517 0.316
In 0.386 0.999 0.679
In 0.462 0.484 0.879
In 0.538 0.984 0.121
In 0.614 0.499 0.321
In 0.926 0.017 0.684
In 0.979 0.500 0.885
Bi 0.167 0.563 0.550
Bi 0.222 0.001 0.923
Bi 0.298 0.465 0.143
Bi 0.388 0.025 0.372
Bi 0.612 0.525 0.628
Bi 0.702 0.965 0.857
Bi 0.778 0.501 0.077
Bi 0.833 0.063 0.450
O 0.031 0.181 0.813
O 0.037 0.799 0.429
O 0.072 0.344 0.035
O 0.146 0.818 0.661
O 0.154 0.224 0.226
O 0.209 0.340 0.436
O 0.222 0.633 0.873
O 0.270 0.831 0.088
O 0.329 0.647 0.287
O 0.358 0.354 0.634
O 0.401 0.782 0.548
O 0.417 0.126 0.829
O 0.427 0.295 0.035
O 0.478 0.202 0.240
O 0.522 0.702 0.760
O 0.573 0.795 0.965
O 0.583 0.626 0.171
O 0.599 0.282 0.452
O 0.642 0.854 0.366
O 0.671 0.147 0.713
O 0.730 0.331 0.912
O 0.778 0.133 0.127
O 0.791 0.840 0.564
O 0.846 0.724 0.774
O 0.854 0.318 0.339
O 0.928 0.844 0.965
O 0.963 0.299 0.571
O 0.969 0.681 0.187

Calculated values
Volume = 14.25 A^3/atom
Formation energy from raw total energies = -1.184 eV per atom
ρ = 8.05 g/cm³
Symmetry = P2_1, No. 4

=====

Record 20
Computed, not measured: a geometry-optimized ReAsHCl2 structure at the GGA-PBE level of DFT.

abc: 5.110 5.110 3.185
angles: 90.00 90.00 90.00
Fractional positions:
Re 0.000 0.000 0.000
As 0.500 0.500 0.500
H 0.500 0.500 0.000
Cl 0.000 0.500 0.500
Cl 0.500 0.000 0.500

Calculated values
Volume = 16.63 A^3/atom
E = -17.425 eV per cell
ρ = 6.65 g/cm³
Symmetry = P4/mmm, No. 123

=====

Record 21
Computed, not measured: a geometry-optimized CrTcRu4 structure at the GGA-PBE level of DFT.

abc: 4.296 7.157 7.157
angles: 21.92 90.00 90.00
Fractional positions:
Cr 0.000 0.000 0.000
Tc 0.500 0.778 0.778
Ru 0.000 0.336 0.336
Ru 0.000 0.664 0.664
Ru 0.500 0.109 0.109
Ru 0.500 0.448 0.448

Calculated values
Volume = 13.69 A^3/atom
Energy of formation from the pure elements = 0 meV per atom
ρ = 11.21 g/cm³
Symmetry = Amm2, No. 38

=====

Record 22
Computed, not measured: a geometry-optimized K2ZrRe structure at the GGA-PBE level of DFT.

abc: 2.895 2.895 12.944
angles: 90.00 90.00 115.33
Fractional positions:
K 0.000 0.000 0.226
K 0.000 0.000 0.774
Zr 0.500 0.500 0.500
Re 0.500 0.500 0.000

Calculated values
Volume = 24.51 A^3/atom
Energy of formation from the pure elements = 1266 meV per atom
ρ = 6.02 g/cm³
Symmetry = Cmmm, No. 65

=====

Record 23
Computed, not measured: a geometry-optimized Ho6Tm2ZrSc3 structure at the GGA-PBE level of DFT.

abc: 5.939 5.939 11.262
angles: 95.02 95.02 119.94
Fractional positions:
Ho 0.085 0.413 0.753
Ho 0.243 0.243 0.248
Ho 0.413 0.085 0.753
Ho 0.587 0.915 0.247
Ho 0.757 0.757 0.752
Ho 0.915 0.587 0.247
Tm 0.333 0.667 0.500
Tm 0.667 0.333 0.500
Zr 0.000 0.000 0.500
Sc 0.167 0.833 0.000
Sc 0.500 0.500 0.000
Sc 0.833 0.167 0.000

Calculated values
Volume = 28.24 A^3/atom
Energy of formation from the pure elements = 60 meV per atom
ρ = 7.61 g/cm³
Symmetry = C2/m, No. 12